(1)
This record from the Alexandria database describes crystalline La4GaPt at its relaxed geometry. The functional is PBE.

Unit cell a=7.3123 b=7.4966 c=7.4091 alpha=90.00 beta=93.22 gamma=90.00
With the nearest neighbours (Å) after each atom.
Sites, in units of the cell vectors:
1 La 0.1736 0.8376 0.6563  2 Pt 2.97-3.03, 1 Ga 3.15
2 Pt 0.0000 0.5000 0.5000  6 La 2.87-3.03
3 La 0.3264 0.3376 0.3437  2 Pt 2.97-3.03, 1 Ga 3.15
4 La 0.6368 0.1560 0.8343  1 Pt 2.87, 2 Ga 3.05-3.09
5 La 0.8632 0.6560 0.1657  1 Pt 2.87, 2 Ga 3.05-3.09
6 Ga 0.0000 0.0000 0.0000  6 La 3.05-3.15
7 La 0.3632 0.8440 0.1657  1 Pt 2.87, 2 Ga 3.05-3.09
8 Ga 0.5000 0.5000 0.0000  6 La 3.05-3.15
9 Pt 0.5000 0.0000 0.5000  6 La 2.87-3.03
10 La 0.6736 0.6624 0.6563  2 Pt 2.97-3.03, 1 Ga 3.15
11 La 0.8264 0.1624 0.3437  2 Pt 2.97-3.03, 1 Ga 3.15
12 La 0.1368 0.3440 0.8343  1 Pt 2.87, 2 Ga 3.05-3.09

E above lowest polymorph (meV/atom): 78
Formation energy (meV per atom): -499
Crystal system: monoclinic
SG: P2_1/c (14)
Total energy (eV per cell): -63.5



(2)
This record from the Alexandria database describes crystalline LaMg2Al2 at its relaxed geometry. The functional is PBE.

Unit cell a=8.5487 b=8.5487 c=3.0841 alpha=90.00 beta=90.00 gamma=90.00
With the nearest neighbours (Å) after each atom.
Sites, in units of the cell vectors:
1 Mg 0.3768 0.8768 0.0000  6 Al 2.92-2.98, 3 Mg 2.98-3.08
2 Mg 0.8768 0.6232 0.0000  6 Al 2.92-2.98, 3 Mg 2.98-3.08
3 Al 0.1715 0.6715 0.5000  6 Mg 2.92-2.98, 2 Al 3.08
4 Al 0.6715 0.8285 0.5000  6 Mg 2.92-2.98, 2 Al 3.08
5 Mg 0.1232 0.3768 0.0000  6 Al 2.92-2.98, 3 Mg 2.98-3.08
6 Al 0.8285 0.3285 0.5000  6 Mg 2.92-2.98, 2 Al 3.08
7 Mg 0.6232 0.1232 0.0000  6 Al 2.92-2.98, 3 Mg 2.98-3.08
8 La 0.0000 0.0000 0.0000  2 La 3.08, 4 Mg 3.39
9 La 0.5000 0.5000 0.0000  2 La 3.08, 4 Mg 3.39
10 Al 0.3285 0.1715 0.5000  6 Mg 2.92-2.98, 2 Al 3.08

Formation energy (meV per atom): -139
Crystal system: tetragonal
SG: P4/mbm (127)
Total energy (eV per cell): -32.6



(3)
This record from the Alexandria database describes crystalline Si2Os at its relaxed geometry. The functional is PBE.

Unit cell a=4.8180 b=4.8180 c=4.8180 alpha=60.00 beta=60.00 gamma=60.00
With the nearest neighbours (Å) after each atom.
Sites, in units of the cell vectors:
1 Os 0.7500 0.7500 0.7500  12 Si 2.82, 4 Os 2.95
2 Os 0.5000 0.5000 0.5000  12 Si 2.82, 4 Os 2.95
3 Si 0.1250 0.1250 0.1250  6 Si 2.41
4 Si 0.1250 0.1250 0.6250  6 Si 2.41
5 Si 0.1250 0.6250 0.1250  6 Si 2.41
6 Si 0.6250 0.1250 0.1250  6 Si 2.41

Crystal system: cubic
SG: Fd-3m (227)
Total energy (eV per cell): -39.6
Raw formation energy (eV/atom): 0.762



(4)
This record from the Alexandria database describes crystalline La2TmCd at its relaxed geometry. The functional is PBE.

Unit cell a=3.6734 b=3.6734 c=11.3728 alpha=80.71 beta=80.71 gamma=60.00
With the nearest neighbours (Å) after each atom.
Sites, in units of the cell vectors:
1 Tm 0.4998 0.4998 0.5007  6 La 3.57-3.59, 6 Tm 3.67
2 Cd 0.6669 0.6669 0.9993  6 La 3.43-3.44, 6 Cd 3.67
3 La 0.2527 0.2527 0.2419  3 Cd 3.44, 3 Tm 3.59, 6 La 3.67
4 La 0.0807 0.0807 0.7580  3 Cd 3.43, 3 Tm 3.57, 6 La 3.67

E above lowest polymorph (meV/atom): 107
Formation energy (meV per atom): -42
Crystal system: trigonal
SG: R3m (160)
Total energy (eV per cell): -15.4



Question: What is the total energy in the second record?
Answer: -32.6 eV per cell



Question: Which of these has the highest total energy?
Answer: La2TmCd



Question: Which value of total energy does entry 4 give?
Answer: -15.4 eV per cell